FeAu2Cl: relaxed, GGA-PBE.

Output
ΔE to the lowest computed polymorph in meV/atom: 382
ρ in g/cm3: 10.3
DFT total energy in eV/atom: -3.830
ΔE_f (raw) in eV/atom: 0.39

abc: 3.783 3.783 10.918
angles: 90.00 90.00 90.00
Space group I4/mmm (No. 139)
Symmetry-distinct sites (fractional):
Fe  0.000  0.000  0.000
Au  0.000  0.500  0.250
Cl  0.000  0.000  0.500

---

Fe4AuCl: relaxed, GGA-PBE.

Output
ρ in g/cm3: 8.5
DFT total energy in eV/atom: -5.955
ΔE_f (raw) in eV/atom: 0.54

abc: 7.089 7.089 7.089
angles: 90.00 90.00 90.00
Space group F-43m (No. 216)
Symmetry-distinct sites (fractional):
Fe  0.123  0.123  0.123
Au  0.250  0.250  0.750
Cl  0.000  0.000  0.500

---

FeAu2Cl: relaxed, GGA-PBE.

Output
ΔE to the lowest computed polymorph in meV/atom: 10
ρ in g/cm3: 8.9
DFT total energy in eV/atom: -4.203
ΔE_f (raw) in eV/atom: 0.01

abc: 9.152 3.002 6.636
angles: 90.00 96.27 90.00
Space group Cm (No. 8)
Symmetry-distinct sites (fractional):
Fe  0.000  0.000  0.000
Au  0.027  0.500  0.667
Au  0.267  0.000  0.856
Cl  0.054  0.500  0.267

---

FeAu2Cl: relaxed, GGA-PBE.

Output
ΔE to the lowest computed polymorph in meV/atom: 181
ρ in g/cm3: 10.8
DFT total energy in eV/atom: -4.031
ΔE_f (raw) in eV/atom: 0.18

abc: 2.912 4.237 12.130
angles: 90.00 90.00 90.00
Space group Immm (No. 71)
Symmetry-distinct sites (fractional):
Fe  0.000  0.000  0.000
Au  0.000  0.500  0.302
Cl  0.000  0.000  0.500

---

FeAu2Cl: relaxed, GGA-PBE.

Output
ΔE to the lowest computed polymorph in meV/atom: 213
ρ in g/cm3: 10.9
DFT total energy in eV/atom: -3.999
ΔE_f (raw) in eV/atom: 0.22

abc: 3.2549 3.2549 24.0694
angles: 90.00 90.00 120.00
Space group R-3m (No. 166, hexagonal axes)
Symmetry-distinct sites (fractional):
Fe  0.0000  0.0000  0.0000
Au  0.0000  0.0000  0.2570
Cl  0.0000  0.0000  0.5000

---

FeAu2Cl: relaxed, GGA-PBE.

Output
ΔE to the lowest computed polymorph in meV/atom: 339
ρ in g/cm3: 9.5
DFT total energy in eV/atom: -3.873
ΔE_f (raw) in eV/atom: 0.34

abc: 8.635 8.635 4.573
angles: 90.00 90.00 90.00
Space group I-42d (No. 122)
Symmetry-distinct sites (fractional):
Fe  0.000  0.000  0.000
Au  0.163  0.750  0.125
Cl  0.000  0.000  0.500

---

FeAu3Cl: relaxed, GGA-PBE.

Output
ΔE to the lowest computed polymorph in meV/atom: 0
ρ in g/cm3: 9.6
DFT total energy in eV/atom: -3.231
ΔE_f (raw) in eV/atom: 0.80

abc: 4.899 4.899 4.899
angles: 90.00 90.00 90.00
Space group Pm-3m (No. 221)
Symmetry-distinct sites (fractional):
Fe  0.000  0.000  0.000
Au  0.000  0.000  0.500
Cl  0.500  0.500  0.500

---

FeAu2Cl: relaxed, GGA-PBE.

Output
ΔE to the lowest computed polymorph in meV/atom: 463
ρ in g/cm3: 11.3
DFT total energy in eV/atom: -3.749
ΔE_f (raw) in eV/atom: 0.47

abc: 6.580 6.580 6.580
angles: 90.00 90.00 90.00
Space group F-43m (No. 216)
Symmetry-distinct sites (fractional):
Fe  0.000  0.000  0.000
Au  0.000  0.000  0.500
Au  0.250  0.250  0.250
Cl  0.250  0.250  0.750

---

Fe2AuI6Cl2: relaxed, GGA-PBE.

Output
ρ in g/cm3: 4.3
DFT total energy in eV/atom: -3.242
ΔE_f (raw) in eV/atom: -0.22

abc: 7.2073 7.2073 9.8315
angles: 90.00 90.00 120.00
Space group P-3 (No. 147)
Symmetry-distinct sites (fractional):
Fe  0.3333  0.6667  0.2377
Au  0.0000  0.0000  0.5000
I  0.0014  0.3288  0.6774
Cl  0.3333  0.6667  0.0195

---

FeMo2AuCl: relaxed, GGA-PBE.

Output
ΔE to the lowest computed polymorph in meV/atom: 0
ρ in g/cm3: 9.9
DFT total energy in eV/atom: -6.162
ΔE_f (raw) in eV/atom: 0.89

abc: 4.443 4.443 4.074
angles: 90.00 90.00 90.00
Space group P4/mmm (No. 123)
Symmetry-distinct sites (fractional):
Fe  0.000  0.000  0.000
Mo  0.000  0.500  0.500
Au  0.500  0.500  0.000
Cl  0.000  0.000  0.500

---

FeMo2AuCl: relaxed, GGA-PBE.

Output
ΔE to the lowest computed polymorph in meV/atom: 982
ρ in g/cm3: 6.1
DFT total energy in eV/atom: -5.179
ΔE_f (raw) in eV/atom: 1.87

abc: 5.221 5.221 4.830
angles: 90.00 90.00 90.00
Space group P4/mmm (No. 123)
Symmetry-distinct sites (fractional):
Fe  0.000  0.000  0.000
Mo  0.000  0.500  0.500
Au  0.000  0.000  0.500
Cl  0.500  0.500  0.000

---

RbFe2AuCl8: relaxed, GGA-PBE.

Output
ρ in g/cm3: 3.0
DFT total energy in eV/atom: -3.851
ΔE_f (raw) in eV/atom: -0.86

abc: 13.605 6.963 8.630
angles: 90.00 113.74 90.00
Space group C2/m (No. 12)
Symmetry-distinct sites (fractional):
Rb  0.000  0.000  0.000
Fe  0.192  0.000  0.668
Au  0.000  0.500  0.500
Cl  0.108  0.251  0.725
Cl  0.138  0.500  0.156
Cl  0.175  0.000  0.405

---

Fe2ReAuCl: relaxed, GGA-PBE.

Output
ρ in g/cm3: 11.0
DFT total energy in eV/atom: -5.362
ΔE_f (raw) in eV/atom: 1.54

abc: 4.099 4.099 4.748
angles: 90.00 90.00 90.00
Space group P4/mmm (No. 123)
Symmetry-distinct sites (fractional):
Fe  0.000  0.500  0.000
Re  0.000  0.000  0.500
Au  0.500  0.500  0.500
Cl  0.500  0.500  0.000

---

FeAuS2Cl: relaxed, GGA-PBE.

Output
ΔE to the lowest computed polymorph in meV/atom: 0
ρ in g/cm3: 6.3
DFT total energy in eV/atom: -3.939
ΔE_f (raw) in eV/atom: 0.43

abc: 4.313 4.313 5.018
angles: 90.00 90.00 90.00
Space group P4/mmm (No. 123)
Symmetry-distinct sites (fractional):
Fe  0.000  0.000  0.000
Au  0.500  0.500  0.500
S  0.000  0.500  0.000
Cl  0.000  0.000  0.500